# Cd5In3Br12 | Alexandria via LeMat-Bulk | GGA-PBE | relaxed
# * E_tot: -2.363 eV per atom
# * uncorrected formation energy: -14.40 eV/f.u.
# * calculated density: 4.344 g/cm³
# * N(E_F): 22.358 states/eV per cell
data_Cd5In3Br12
_cell_length_a 17.868
_cell_length_b 17.868
_cell_length_c 17.868
_cell_angle_alpha 90.00
_cell_angle_beta 90.00
_cell_angle_gamma 90.00
_space_group_name_H-M_alt 'I a -3 d'
_space_group_IT_number 230
_space_group_name_Hall '-I 4bd 2c 3'
loop_
_atom_site_label
_atom_site_type_symbol
_atom_site_fract_x
_atom_site_fract_y
_atom_site_fract_z
Cd1 Cd 0.000 0.000 0.000
Cd2 Cd 0.000 0.250 0.375
In1 In 0.000 0.250 0.125
Br1 Br 0.031 0.056 0.648

---

# AlAs2SeS | Alexandria via LeMat-Bulk | GGA-PBE | relaxed
# * E_tot: -3.448 eV per atom
# * uncorrected formation energy: 3.41 eV/f.u.
# * E above lowest polymorph: 0.06 eV/f.u.
# * calculated density: 4.224 g/cm³
# * N(E_F): 5.436 states/eV per cell
data_AlAs2SeS
_cell_length_a 4.833
_cell_length_b 4.833
_cell_length_c 4.845
_cell_angle_alpha 90.00
_cell_angle_beta 90.00
_cell_angle_gamma 90.00
_space_group_name_H-M_alt 'P 4/m m m'
_space_group_IT_number 123
_space_group_name_Hall '-P 4 2'
loop_
_atom_site_label
_atom_site_type_symbol
_atom_site_fract_x
_atom_site_fract_y
_atom_site_fract_z
Al1 Al 0.000 0.000 0.000
As1 As 0.000 0.500 0.500
Se1 Se 0.500 0.500 0.000
S1 S 0.500 0.500 0.500